1.
ZnTc2P2 | PBE-GGA | optimized geometry

a = 6.865 Å, b = 6.865 Å, c = 2.978 Å
α = 90.00°, β = 90.00°, γ = 90.00°
Fractional positions:
Zn  0.000  0.000  0.000
Zn  0.500  0.500  0.000
Tc  0.148  0.352  0.000
Tc  0.352  0.852  0.000
Tc  0.852  0.648  0.000
Tc  0.648  0.148  0.000
P  0.856  0.356  0.500
P  0.644  0.856  0.500
P  0.144  0.644  0.500
P  0.356  0.144  0.500

SG	P4/mbm, No. 127
spin magnetization	0.00	μB/cell
Fermi-level density of states	6.2	states/eV per cell
crystal system	tetragonal
energy of formation	-103	kJ/mol of formula units
total DFT energy (no corrections)	-6.778	eV/atom

2.
Li5InHg | PBE-GGA | optimized geometry

a = 4.916 Å, b = 4.916 Å, c = 5.959 Å
α = 90.00°, β = 90.00°, γ = 74.93°
Fractional positions:
Li  0.000  0.000  0.500
Li  0.000  0.500  0.756
Li  0.500  0.000  0.756
Li  0.500  0.000  0.244
Li  0.000  0.500  0.244
Hg  0.500  0.500  0.500
In  0.000  0.000  0.000

SG	Cmmm, No. 65
spin magnetization	0.00	μB/cell
Fermi-level density of states	2.2	states/eV per cell
crystal system	orthorhombic
energy of formation	-125	kJ/mol of formula units
total DFT energy (no corrections)	-1.987	eV/atom

3.
ZnCuNi2 | PBE-GGA | optimized geometry

a = 2.646 Å, b = 2.646 Å, c = 6.688 Å
α = 90.00°, β = 90.00°, γ = 89.98°
Fractional positions:
Cu  0.500  0.500  0.750
Zn  0.500  0.500  0.250
Ni  0.000  0.000  0.998
Ni  0.000  0.000  0.502

SG	P4/mmm, No. 123
spin magnetization	0.00	μB/cell
Fermi-level density of states	3.1	states/eV per cell
crystal system	tetragonal
energy of formation	-37	kJ/mol of formula units
total DFT energy (no corrections)	-4.329	eV/atom

4.
Rb2HfCrI6 | PBE-GGA | optimized geometry

a = 8.328 Å, b = 8.328 Å, c = 8.328 Å
α = 60.00°, β = 60.00°, γ = 90.00°
Each line ends with the local moment (μB).
Fractional positions:
Rb  0.250  0.750  0.500  0.00
Rb  0.750  0.250  0.500  0.00
Hf  0.000  0.000  0.000  0.78
I  0.247  0.247  0.000  0.00
I  0.753  0.247  0.000  0.00
I  0.753  0.753  0.000  0.00
I  0.247  0.247  0.505  0.00
I  0.247  0.753  0.000  0.00
I  0.753  0.753  0.495  0.00
Cr  0.500  0.500  0.000  4.19

SG	Fm-3m, No. 225
ΔE_f (raw)	-74.7	kJ/mol of atoms
spin magnetization	6.00	μB/cell
Fermi-level density of states	6.4	states/eV per cell
crystal system	cubic
total DFT energy (no corrections)	-3.855	eV/atom